[1]
Here is a relaxed structure of Hf4CoAsC2 from OQMD via LeMat-Bulk. Energies are from PBE.

Properties
Volume in A^3/atom: 15.36
Energy relative to the lowest polymorph listed for this composition in meV per atom: 2
Space-group type: P-6m2
Raw total energy in eV for the cell shown: -75.57
Size of the total moment in μB per formula unit: 0.025

Unit cell a=3.3312 b=3.3312 c=12.7898 alpha=90.00 beta=90.00 gamma=120.00
Last column: nearest neighbours and their distance in Å.
Fractional positions:
1 As 0.0000 0.0000 0.5000  6 Hf 2.75
2 C 0.6667 0.3333 0.2522  6 Hf 2.27-2.36
3 C 0.6667 0.3333 0.7478  6 Hf 2.27-2.36
4 Co 0.3333 0.6667 0.0000  6 Hf 2.68
5 Hf 0.0000 0.0000 0.1454  3 C 2.36
6 Hf 0.3333 0.6667 0.3467  3 C 2.27
7 Hf 0.3333 0.6667 0.6533  3 C 2.27
8 Hf 0.0000 0.0000 0.8546  3 C 2.36



[2]
Here is a relaxed structure of Hf4CoAsC2 from OQMD via LeMat-Bulk. Energies are from PBE.

Properties
Volume in A^3/atom: 15.31
Energy relative to the lowest polymorph listed for this composition in meV per atom: 0
Space-group type: P-6m2
Raw total energy in eV for the cell shown: -75.59
Size of the total moment in μB per formula unit: 0.809

Unit cell a=3.3180 b=3.3180 c=12.8472 alpha=90.00 beta=90.00 gamma=120.00
Last column: nearest neighbours and their distance in Å.
Fractional positions:
1 As 0.0000 0.0000 0.0000  6 Hf 2.75
2 C 0.3333 0.6667 0.2480  6 Hf 2.27-2.36
3 C 0.3333 0.6667 0.7520  6 Hf 2.27-2.36
4 Co 0.6667 0.3333 0.5000  6 Hf 2.68
5 Hf 0.6667 0.3333 0.1532  3 C 2.27
6 Hf 0.0000 0.0000 0.3546  3 C 2.36
7 Hf 0.0000 0.0000 0.6454  3 C 2.36
8 Hf 0.6667 0.3333 0.8468  3 C 2.27



[3]
Here is a relaxed structure of Lu4CoAsC2 from OQMD via LeMat-Bulk. Energies are from PBE.

Properties
Volume in A^3/atom: 18.06
Space-group type: P-6m2
Raw total energy in eV for the cell shown: -51.63
Size of the total moment in μB per formula unit: 0.795

Unit cell a=3.5020 b=3.5020 c=13.6055 alpha=90.00 beta=90.00 gamma=120.00
Last column: nearest neighbours and their distance in Å.
Fractional positions:
1 As 0.0000 0.0000 0.0000  6 Lu 2.97
2 C 0.3333 0.6667 0.2538  6 Lu 2.39-2.43
3 C 0.3333 0.6667 0.7462  6 Lu 2.39-2.43
4 Co 0.6667 0.3333 0.5000  6 Lu 2.85
5 Lu 0.6667 0.3333 0.1595  3 C 2.39
6 Lu 0.0000 0.0000 0.3528  3 C 2.43
7 Lu 0.0000 0.0000 0.6472  3 C 2.43
8 Lu 0.6667 0.3333 0.8405  3 C 2.39